## Pr2ScI (GGA-PBE)

Data for a relaxed structure of Pr2ScI.

Summary:
Total DFT energy (no corrections) ... -4.427 eV/atom
Energy relative to the lowest polymorph listed for this composition ... 255.8 meV/atom
N(E_F) ... 1.485 states/eV per atom
Density ... 5.72 g/cm³
Raw formation energy ... -0.067 eV/atom

Cell lengths 3.6347, 3.6347, 34.5554 Å; angles 90.00, 90.00, 120.00 degrees
Last column: nearest neighbours and their distance in Å.
Space group R-3m (No. 166, hexagonal axes)
Inequivalent atoms, fractional coordinates:
Pr 0.0000 0.0000 0.0916 (multiplicity 6)  1 Sc 3.17, 3 I 3.34
Sc 0.0000 0.0000 0.0000 (multiplicity 3)  2 Pr 3.17
I 0.0000 0.0000 0.5000 (multiplicity 3)  6 Pr 3.34, 6 I 3.63